LaVN3: optimized geometry, PBE-GGA.

magnetic moment = 0.00 μB/f.u.
crystal system = triclinic
formation energy without anion corrections = -5.17 eV per formula unit

Cell: 3.9068 5.5711 7.2287 Å, 69.48 84.39 89.31°
Space group P1 (No. 1)
One atom of each set of equivalent atoms:
1 La 0.0000 0.0000 0.0000
2 La 0.4008 0.6752 0.6005
3 V 0.5016 0.4637 0.0702
4 V 0.8818 0.1846 0.4089
5 N 0.1524 0.2073 0.6076
6 N 0.4515 0.2149 0.5003
7 N 0.5118 0.7763 0.9089
8 N 0.5171 0.2994 0.9085
9 N 0.9221 0.8664 0.3952
10 N 0.9744 0.4209 0.1531

=====

Sr2TaSi: optimized geometry, PBE-GGA.

magnetic moment = 1.61 μB/f.u.
crystal system = orthorhombic
formation energy without anion corrections = 2.77 eV per formula unit

Cell: 3.2379 4.7390 6.9219 Å, 90.00 90.00 90.00°
Space group Pmmm (No. 47)
One atom of each set of equivalent atoms:
1 Sr 0.0000 0.0000 0.2335
2 Ta 0.5000 0.5000 0.5000
3 Si 0.5000 0.5000 0.0000

=====

TlSi2Tc: optimized geometry, PBE-GGA.

magnetic moment = 0.00 μB/f.u.
distance to the lowest polymorph of the same formula = 45.8 kJ per mole of atoms
crystal system = tetragonal
formation energy without anion corrections = 2.01 eV per formula unit

Cell: 5.5135 5.5135 14.5666 Å, 90.00 90.00 90.00°
Space group I-42d (No. 122)
One atom of each set of equivalent atoms:
1 Tl 0.0000 0.0000 0.0000
2 Si 0.0010 0.2500 0.6250
3 Tc 0.0000 0.0000 0.5000

=====

Across the entries above, energy takes the values -8.839; -4.467; -5.392 eV per atom, respectively.